The following is a PBE-GGA calculation of a relaxed structure of La2Sm7Y3, from the Alexandria database.

Size of the total moment ... 0.00 μB/f.u.
Energy of formation ... 67 meV per atom
VASP energy ... -5.12 eV per atom
ρ ... 6.48 g/cm3

The structure in CIF format:
```
data_La2Sm7Y3
_chemical_formula_sum 'La2 Sm7 Y3'
_cell_length_a 6.471
_cell_length_b 3.580
_cell_length_c 17.777
_cell_angle_alpha 90.00
_cell_angle_beta 95.99
_cell_angle_gamma 90.00
_space_group_name_H-M_alt 'P 1 2/m 1'
_space_group_IT_number 10
loop_
_space_group_symop_operation_xyz
'x,y,z'
'-x,-y,-z'
'-x,y,-z'
'x,-y,z'
loop_
_atom_site_label
_atom_site_type_symbol
_atom_site_fract_x
_atom_site_fract_y
_atom_site_fract_z
_atom_site_occupancy
La1 La 0.057 0.000 0.170 1
Sm1 Sm 0.000 0.500 0.500 1
Sm2 Sm 0.229 0.000 0.667 1
Sm3 Sm 0.258 0.000 0.998 1
Sm4 Sm 0.276 0.500 0.337 1
Y1 Y 0.454 0.500 0.841 1
Y2 Y 0.500 0.000 0.500 1
```